# Hg12Br5Cl3

A geometry-optimized Hg12Br5Cl3 structure (PBE-GGA, Alexandria via LeMat-Bulk).

Cell lengths 17.9758, 17.9758, 17.9758 Å; angles 90.00, 90.00, 90.00 degrees
With the nearest neighbours (Å) after each atom.
Space group Ia-3d (No. 230)
Unique sites:
Hg1 0.0031 0.0708 0.1620 (multiplicity 96)  1 Hg 2.91, 1 Cl 2.99, 2 Br 3.07-3.18
Br1 0.0000 0.0000 0.0000 (multiplicity 16)  6 Hg 3.18
Br2 0.0000 0.2500 0.3750 (multiplicity 24)  4 Hg 3.07
Cl1 0.0000 0.2500 0.1250 (multiplicity 24)  8 Hg 2.99-3.29

Output
The calculation puts the formation energy without anion corrections at -1.87 eV/f.u.

---

# SmErCI

A geometry-optimized SmErCI structure (PBE-GGA, Alexandria via LeMat-Bulk).

Cell lengths 3.7831, 3.7831, 22.4768 Å; angles 90.00, 90.00, 120.00 degrees
With the nearest neighbours (Å) after each atom.
Space group R3m (No. 160, hexagonal axes)
Unique sites:
Sm1 0.0000 0.0000 0.0000 (multiplicity 3)  3 C 2.60
Er1 0.0000 0.0000 0.7808 (multiplicity 3)  3 C 2.47
C1 0.0000 0.0000 0.3962 (multiplicity 3)  3 Er 2.47, 3 Sm 2.60
I1 0.0000 0.0000 0.2206 (multiplicity 3)  3 Er 3.24, 3 Sm 3.34

Output
The calculation puts the formation energy without anion corrections at -2.92 eV/f.u.

---

# Pa2CoGeN5

A geometry-optimized Pa2CoGeN5 structure (PBE-GGA, Alexandria via LeMat-Bulk).

Cell lengths 3.3299, 13.4812, 9.4779 Å; angles 90.00, 90.00, 90.00 degrees
With the nearest neighbours (Å) after each atom.
Space group Cmc2_1 (No. 36)
Unique sites:
Pa1 0.0000 0.1238 0.0000 (multiplicity 4)  3 N 2.25-2.34
Pa2 0.0000 0.1409 0.6192 (multiplicity 4)  5 N 2.29-2.50
Co1 0.0000 0.2202 0.3367 (multiplicity 4)  3 N 2.00-2.18
Ge1 0.0000 0.4418 0.7773 (multiplicity 4)  4 N 1.87-1.99
N1 0.0000 0.0540 0.3744 (multiplicity 4)  2 Ge 1.90
N2 0.0000 0.2900 0.9853 (multiplicity 4)  2 Co 2.18, 3 Pa 2.25-2.29
N3 0.0000 0.3118 0.6789 (multiplicity 4)  1 Ge 1.99
N4 0.0000 0.3686 0.3263 (multiplicity 4)  1 Co 2.00
N5 0.0000 0.4963 0.1003 (multiplicity 4)  1 Ge 1.87

Output
The calculation puts the formation energy without anion corrections at -6.91 eV/f.u.

---

no.,volume (Å³/f.u.)
1,726.1
2,92.9
3,106.4